[1]
This record from Alexandria describes a geometry-optimized Ac6IrPdPt2 structure. The functional is PBE-GGA.

Values from the calculation:
- Symmetry: R3, No. 146
- E: -5.879 eV/atom

Structure (POSCAR):
```
Ac6IrPdPt2
1.0
-3.212 3.556 5.940
-0.636 -3.588 6.704
5.028 2.470 6.143
Ac Ir Pd Pt
6 1 1 2
direct
0.590 0.237 0.248
0.237 0.926 0.248
0.926 0.589 0.248
0.412 0.728 0.756
0.728 0.104 0.756
0.103 0.412 0.756
0.327 0.327 0.020
0.826 0.826 0.524
0.508 0.508 0.475
0.005 0.005 0.985
```

[2]
This record from Alexandria describes a geometry-optimized Ac6Ir2PdPt3 structure. The functional is PBE-GGA.

Values from the calculation:
- Symmetry: C2/m, No. 12
- E: -6.377 eV/atom

Structure (POSCAR):
```
Ac6Ir2PdPt3
1.0
-1.603 0.253 4.051
-7.308 -4.023 -2.642
6.409 -7.325 0.643
Ac Ir Pd Pt
6 2 1 3
direct
0.330 0.908 0.661
0.669 0.577 0.339
0.670 0.092 0.339
0.004 0.256 0.008
0.996 0.744 0.992
0.331 0.423 0.661
0.835 0.671 0.670
0.165 0.329 0.330
0.500 0.000 0.000
0.500 0.500 0.000
0.837 0.167 0.674
0.163 0.833 0.326
```

[3]
This record from Alexandria describes a geometry-optimized Ac4IrPdPt2 structure. The functional is PBE-GGA.

Values from the calculation:
- Symmetry: P2/m, No. 10
- E: -6.245 eV/atom

Structure (POSCAR):
```
Ac4IrPdPt2
1.0
4.381 0.000 0.000
0.000 7.574 0.138
0.000 -2.640 7.099
Ac Ir Pd Pt
4 1 1 2
direct
0.500 0.258 0.250
0.500 0.742 0.750
0.000 0.259 0.756
0.000 0.741 0.244
0.500 0.500 0.000
0.000 0.000 0.000
0.500 0.000 0.500
0.000 0.500 0.500
```

[4]
This record from Alexandria describes a geometry-optimized Ac8IrPdPt2 structure. The functional is PBE-GGA.

Values from the calculation:
- Symmetry: P2/m, No. 10
- E: -5.579 eV/atom

Structure (POSCAR):
```
Ac8IrPdPt2
1.0
7.310 -0.038 -0.005
0.006 7.159 -0.009
0.006 0.011 8.866
Ac Ir Pd Pt
8 1 1 2
direct
0.167 0.768 0.243
0.672 0.739 0.000
0.833 0.232 0.243
0.833 0.232 0.757
0.328 0.261 0.000
0.167 0.768 0.757
0.663 0.736 0.500
0.337 0.264 0.500
0.000 0.000 0.000
0.000 0.000 0.500
0.500 0.500 0.750
0.500 0.500 0.250
```

- Which value of E does entry 1 give?
  -5.879 eV/atom

- Which value of E does entry 4 give?
  -5.579 eV/atom